Computed, not measured: an optimized crystal structure of Sc4AlGa2Rh at the PBE-GGA level of DFT.

The calculation puts the energy relative to the elements at -5.2 eV/f.u. The crystal system is trigonal.

It has space group R-3m (No. 166, hexagonal axes), with a = 4.7264 Å, b = 4.7264 Å, c = 23.0323 Å, α = 90.00°, β = 90.00° and γ = 120.00°. The distinct sites, in fractional coordinates, are Sc at (0.0000, 0.0000, 0.1209), Sc at (0.0000, 0.0000, 0.3721), Al at (0.0000, 0.0000, 0.5000), Ga at (0.0000, 0.0000, 0.2487) and Rh at (0.0000, 0.0000, 0.0000).